*a*
First-principles (GGA-PBEsol) data for crystalline LaTaSe2 at its relaxed geometry, as listed in the Alexandria database.

Geometry as extended XYZ:
```
4
Lattice="4.936 0.000 0.000 2.468 4.275 0.000 2.468 1.425 4.030" Properties=species:S:1:pos:R:3 pbc="T T T"
La 4.936 2.850 2.015
Se 0.000 0.000 0.000
Se 7.404 4.275 3.023
Ta 2.468 1.425 1.008
```

***

*b*
First-principles (GGA-PBEsol) data for crystalline LaTaSe2 at its relaxed geometry, as listed in the Alexandria database.

Geometry as extended XYZ:
```
4
Lattice="3.493 0.000 0.000 0.000 3.659 0.000 0.000 0.000 7.031" Properties=species:S:1:pos:R:3 pbc="T T T"
La 0.000 1.829 3.516
Se 1.746 0.000 5.207
Se 1.746 0.000 1.824
Ta 1.746 1.829 0.000
```

***

*b* has the most favorable energy; the next structure is 95.4 kJ/mol of atoms above.

***

*a*
First-principles (GGA-PBEsol) data for crystalline La2TlSe at its relaxed geometry, as listed in the Alexandria database.

Geometry as extended XYZ:
```
4
Lattice="-1.989 3.307 -1.679 0.028 0.578 -4.168 -7.291 -3.022 -2.592" Properties=species:S:1:pos:R:3 pbc="T T T"
Tl -4.626 0.431 -4.220
Se 0.000 0.000 0.000
La -7.119 0.530 -6.347
La -2.133 0.333 -2.092
```

***

*b*
First-principles (GGA-PBEsol) data for crystalline La2TlSe at its relaxed geometry, as listed in the Alexandria database.

Geometry as extended XYZ:
```
4
Lattice="4.462 0.000 0.000 0.000 4.462 0.000 -2.231 -2.231 5.534" Properties=species:S:1:pos:R:3 pbc="T T T"
La 0.000 0.000 0.000
La 2.231 0.000 2.767
Se 2.231 2.231 0.000
Tl 0.000 2.231 2.767
```

***

*a* has the most favorable energy; the next structure is 31.4 kJ/mol of atoms above.

***

*a*
First-principles (GGA-PBEsol) data for crystalline LaW2Se at its relaxed geometry, as listed in the Alexandria database.

Geometry as extended XYZ:
```
4
Lattice="-0.096 3.117 1.020 -2.362 0.642 -2.184 -5.030 -1.765 4.921" Properties=species:S:1:pos:R:3 pbc="T T T"
La -2.475 -0.869 2.421
Se -5.260 0.465 3.362
W -0.055 -0.019 0.054
W -2.213 1.534 0.381
```

***

*b*
First-principles (GGA-PBEsol) data for crystalline LaW2Se at its relaxed geometry, as listed in the Alexandria database.

Geometry as extended XYZ:
```
4
Lattice="3.378 -0.008 0.000 -0.031 4.481 0.000 -1.673 -2.237 5.253" Properties=species:S:1:pos:R:3 pbc="T T T"
La 1.689 -0.004 0.000
Se -0.016 2.241 0.000
W -0.837 -1.118 2.626
W 0.837 1.118 2.626
```

***

*c*
First-principles (GGA-PBEsol) data for crystalline LaW2Se at its relaxed geometry, as listed in the Alexandria database.

Geometry as extended XYZ:
```
4
Lattice="-3.184 -0.605 -1.330 1.336 -2.497 -2.062 -1.103 -4.438 4.659" Properties=species:S:1:pos:R:3 pbc="T T T"
La -0.924 -1.551 -1.696
Se -1.476 -3.770 0.633
W -0.757 -3.044 3.196
W -0.347 -1.394 1.463
```

***

*a* has the most favorable energy; the next structure is 39.8 kJ/mol of atoms above.

***

*a*
First-principles (GGA-PBEsol) data for crystalline LaWSe2 at its relaxed geometry, as listed in the Alexandria database.

Geometry as extended XYZ:
```
4
Lattice="3.360 0.000 0.105 0.000 3.991 0.000 -0.214 0.000 6.386" Properties=species:S:1:pos:R:3 pbc="T T T"
La -0.107 1.996 3.193
Se 1.523 0.000 4.909
Se 1.623 0.000 1.583
W 1.680 1.996 0.053
```

***

*b*
First-principles (GGA-PBEsol) data for crystalline LaWSe2 at its relaxed geometry, as listed in the Alexandria database.

Geometry as extended XYZ:
```
4
Lattice="3.412 0.000 0.000 0.000 4.802 0.000 0.000 0.000 4.802" Properties=species:S:1:pos:R:3 pbc="T T T"
La 1.706 0.000 0.000
Se 0.000 0.000 2.401
Se 0.000 2.401 0.000
W 1.706 2.401 2.401
```

***

*a* has the most favorable energy; the next structure is 6.0 kJ/mol of atoms above.

***

*a*
First-principles (GGA-PBEsol) data for crystalline LaYSe2 at its relaxed geometry, as listed in the Alexandria database.

Geometry as extended XYZ:
```
4
Lattice="4.078 0.000 0.000 0.000 4.078 0.000 -2.039 -2.039 6.397" Properties=species:S:1:pos:R:3 pbc="T T T"
La 2.039 0.000 3.199
Se 0.000 0.000 0.000
Se 0.000 2.039 3.199
Y 2.039 2.039 0.000
```

***

*b*
First-principles (GGA-PBEsol) data for crystalline LaYSe2 at its relaxed geometry, as listed in the Alexandria database.

Geometry as extended XYZ:
```
4
Lattice="-2.385 1.291 -3.139 0.241 -3.762 -1.730 -4.791 -1.666 2.955" Properties=species:S:1:pos:R:3 pbc="T T T"
Y 0.000 0.000 0.000
Se -1.072 -1.236 -2.434
Se -2.395 -0.833 1.478
La -3.467 -2.068 -0.957
```

***

*c*
First-principles (GGA-PBEsol) data for crystalline LaYSe2 at its relaxed geometry, as listed in the Alexandria database.

Geometry as extended XYZ:
```
4
Lattice="-1.021 0.156 3.956 -2.030 -3.109 1.712 4.980 -3.984 3.554" Properties=species:S:1:pos:R:3 pbc="T T T"
Y 0.000 0.000 0.000
Se 0.370 -1.678 2.274
Se 1.559 -5.259 6.948
La 0.964 -3.469 4.611
```

***

*c* has the most favorable energy; the next structure is 4.4 kJ/mol of atoms above.

***

*a*
First-principles (GGA-PBEsol) data for crystalline La5Si3 at its relaxed geometry, as listed in the Alexandria database.

Geometry as extended XYZ:
```
16
Lattice="-5.595 -3.628 4.272 1.152 -2.835 -8.239 3.784 -6.899 -0.903" Properties=species:S:1:pos:R:3 pbc="T T T"
La -0.906 -5.263 1.684
La 0.000 0.000 0.000
La 3.517 -9.297 -5.931
La -0.919 -6.186 -3.815
La 2.409 -5.339 -6.078
La 0.189 -10.144 -3.668
La -0.848 -3.218 -1.202
La -3.068 -8.023 1.208
La 0.260 -7.176 -1.055
La -4.176 -4.065 1.061
Si 2.015 -7.499 -3.729
Si -2.674 -5.863 -1.141
Si 1.688 -4.633 -0.073
Si -3.500 -5.894 3.442
Si -1.743 -2.182 1.554
Si -0.068 -8.345 1.815
```

***

*b*
First-principles (GGA-PBEsol) data for crystalline La5Si3 at its relaxed geometry, as listed in the Alexandria database.

Geometry as extended XYZ:
```
16
Lattice="6.687 0.000 0.000 0.000 8.869 0.000 0.000 -4.434 7.681" Properties=species:S:1:pos:R:3 pbc="T T T"
La 0.000 0.000 5.120
La 3.343 4.434 2.560
La 0.000 4.434 2.560
La 3.343 0.000 5.120
La 5.015 -3.304 5.722
La 5.015 6.608 0.000
La 5.015 1.131 1.958
La 1.672 -1.131 1.958
La 1.672 2.261 0.000
La 1.672 3.304 5.722
Si 5.015 -1.730 2.996
Si 5.015 3.459 0.000
Si 5.015 2.705 4.685
Si 1.672 -2.705 4.685
Si 1.672 5.410 0.000
Si 1.672 1.730 2.996
```

***

*a* has the most favorable energy; the next structure is 8.1 kJ/mol of atoms above.

***

*a*
First-principles (GGA-PBEsol) data for crystalline La2SiTe at its relaxed geometry, as listed in the Alexandria database.

Geometry as extended XYZ:
```
4
Lattice="-0.297 1.200 4.258 -0.093 -4.269 1.196 6.240 -0.012 0.439" Properties=species:S:1:pos:R:3 pbc="T T T"
Si -0.195 -1.534 2.727
Te 3.120 -0.006 0.220
La 0.000 0.000 0.000
La 2.925 -1.541 2.947
```

***

*b*
First-principles (GGA-PBEsol) data for crystalline La2SiTe at its relaxed geometry, as listed in the Alexandria database.

Geometry as extended XYZ:
```
4
Lattice="4.467 0.000 0.000 0.000 4.467 0.000 -2.234 -2.234 5.410" Properties=species:S:1:pos:R:3 pbc="T T T"
La 0.000 4.467 0.000
La 2.233 0.000 2.705
Si 2.233 2.233 0.000
Te 0.000 2.234 2.705
```

***

*c*
First-principles (GGA-PBEsol) data for crystalline La2SiTe at its relaxed geometry, as listed in the Alexandria database.

Geometry as extended XYZ:
```
4
Lattice="-1.814 -0.488 3.991 2.562 -0.754 3.510 0.818 6.846 3.646" Properties=species:S:1:pos:R:3 pbc="T T T"
Si 0.783 2.802 5.573
Te 0.000 0.000 0.000
La 0.405 1.570 2.813
La 1.162 4.034 8.333
```

***

*d*
First-principles (GGA-PBEsol) data for crystalline La2SiTe at its relaxed geometry, as listed in the Alexandria database.

Geometry as extended XYZ:
```
4
Lattice="5.369 0.000 0.000 2.685 4.650 0.000 2.685 1.550 4.384" Properties=species:S:1:pos:R:3 pbc="T T T"
La 2.685 1.550 1.096
La 8.054 4.650 3.288
Si 0.000 0.000 0.000
Te 5.369 3.100 2.192
```

***

*c* has the most favorable energy; the next structure is 4.1 kJ/mol of atoms above.

***

*a*
First-principles (GGA-PBEsol) data for crystalline LaTl2Si at its relaxed geometry, as listed in the Alexandria database.

Geometry as extended XYZ:
```
4
Lattice="5.245 0.000 0.000 2.622 4.542 0.000 2.622 1.514 4.282" Properties=species:S:1:pos:R:3 pbc="T T T"
La 0.000 0.000 0.000
Si 5.245 3.028 2.141
Tl 2.622 1.514 1.071
Tl 7.867 4.542 3.212
```

***

*b*
First-principles (GGA-PBEsol) data for crystalline LaTl2Si at its relaxed geometry, as listed in the Alexandria database.

Geometry as extended XYZ:
```
4
Lattice="3.959 0.000 0.000 0.000 4.773 0.000 -1.980 -2.387 5.311" Properties=species:S:1:pos:R:3 pbc="T T T"
La 1.980 0.000 0.000
Si 0.000 2.387 0.000
Tl 1.980 2.387 2.372
Tl 0.000 0.000 2.939
```

***

*b* has the most favorable energy; the next structure is 21.5 kJ/mol of atoms above.

***

*a*
First-principles (GGA-PBEsol) data for crystalline SrLa2 at its relaxed geometry, as listed in the Alexandria database.

Geometry as extended XYZ:
```
3
Lattice="3.781 0.000 0.000 -1.891 3.275 0.000 0.000 0.000 9.453" Properties=species:S:1:pos:R:3 pbc="T T T"
Sr 0.000 0.000 0.000
La 0.000 2.183 3.320
La 1.891 1.092 6.133
```

***

*b*
First-principles (GGA-PBEsol) data for crystalline SrLa2 at its relaxed geometry, as listed in the Alexandria database.

Geometry as extended XYZ:
```
3
Lattice="3.687 0.000 0.000 0.000 5.142 0.000 -1.843 -2.571 6.058" Properties=species:S:1:pos:R:3 pbc="T T T"
La 1.843 2.571 2.309
La 0.000 0.000 3.749
Sr 0.000 0.000 0.000
```

***

*a* has the most favorable energy; the next structure is 3.9 kJ/mol of atoms above.

***

*a*
First-principles (GGA-PBEsol) data for crystalline SrLa2Ta at its relaxed geometry, as listed in the Alexandria database.

Geometry as extended XYZ:
```
4
Lattice="-2.952 3.526 2.932 -2.478 -3.645 -3.184 -2.750 -4.151 2.223" Properties=species:S:1:pos:R:3 pbc="T T T"
La -2.665 -1.979 -0.303
La -5.516 -2.292 2.274
Sr -2.851 -0.313 2.577
Ta 0.000 0.000 0.000
```

***

*b*
First-principles (GGA-PBEsol) data for crystalline SrLa2Ta at its relaxed geometry, as listed in the Alexandria database.

Geometry as extended XYZ:
```
4
Lattice="-0.884 1.382 -2.872 1.871 -5.039 -1.096 -6.560 -1.868 1.120" Properties=species:S:1:pos:R:3 pbc="T T T"
La -4.882 -3.093 -1.891
La -0.690 -2.432 -0.958
Sr -3.280 -0.934 0.560
Ta -0.442 0.691 -1.436
```

***

*b* has the most favorable energy; the next structure is 3.7 kJ/mol of atoms above.

***

*a*
First-principles (GGA-PBEsol) data for crystalline Sr2LaW at its relaxed geometry, as listed in the Alexandria database.

Geometry as extended XYZ:
```
4
Lattice="3.202 0.000 0.000 0.000 6.290 0.000 0.000 -3.145 5.573" Properties=species:S:1:pos:R:3 pbc="T T T"
La 1.601 3.145 0.000
Sr 0.000 1.572 2.786
Sr 0.000 -1.572 2.786
W 1.601 0.000 0.000
```

***

*b*
First-principles (GGA-PBEsol) data for crystalline Sr2LaW at its relaxed geometry, as listed in the Alexandria database.

Geometry as extended XYZ:
```
4
Lattice="3.419 0.000 0.000 0.000 4.699 0.000 -1.709 -2.349 8.982" Properties=species:S:1:pos:R:3 pbc="T T T"
La 0.000 2.349 0.000
Sr 1.709 2.349 6.105
Sr 0.000 0.000 2.877
W 1.709 0.000 0.000
```

***

*c*
First-principles (GGA-PBEsol) data for crystalline Sr2LaW at its relaxed geometry, as listed in the Alexandria database.

Geometry as extended XYZ:
```
4
Lattice="-0.022 1.276 3.075 -2.894 0.659 1.508 -1.102 -10.602 6.195" Properties=species:S:1:pos:R:3 pbc="T T T"
La 0.000 0.000 0.000
Sr -1.010 -2.609 2.878
Sr -3.009 -6.058 7.900
W -2.009 -4.333 5.389
```

***

*b* has the most favorable energy; the next structure is 27.7 kJ/mol of atoms above.

***

*a*
First-principles (GGA-PBEsol) data for crystalline Sr2LaW at its relaxed geometry, as listed in the Alexandria database.

Geometry as extended XYZ:
```
4
Lattice="-2.575 -3.215 -2.176 1.325 -3.182 3.134 -4.224 1.289 3.095" Properties=species:S:1:pos:R:3 pbc="T T T"
La -2.112 0.645 1.548
Sr 0.663 -1.591 1.567
Sr -1.288 -1.608 -1.088
W -2.737 -2.554 2.027
```

***

*b*
First-principles (GGA-PBEsol) data for crystalline Sr2LaW at its relaxed geometry, as listed in the Alexandria database.

Geometry as extended XYZ:
```
4
Lattice="-3.552 2.941 1.022 0.735 -0.715 4.611 4.745 2.887 -2.729" Properties=species:S:1:pos:R:3 pbc="T T T"
La 0.000 0.000 0.000
Sr -0.108 3.470 0.555
Sr 2.036 1.643 2.349
W -1.408 1.113 2.817
```

***

*a* has the most favorable energy; the next structure is 0.6 kJ/mol of atoms above.